[1]
DFT (PBE-GGA) results for crystalline InSi2P at its relaxed geometry.

a = 3.307 Å, b = 3.308 Å, c = 6.895 Å
α = 90.00°, β = 90.00°, γ = 90.00°
Element x y z (fractional)
Si (0.500, 0.500, 0.184)
Si (0.000, 0.000, 0.980)
In (0.000, 0.000, 0.496)
P (0.500, 0.500, 0.840)

- Energy above the lowest structure with this stoichiometry: 236.2 meV/atom
- Raw formation energy: 359 meV per atom
- Total moment: 0.0 μB/f.u.

[2]
DFT (PBE-GGA) results for crystalline SnTe2O at its relaxed geometry.

a = 8.029 Å, b = 8.029 Å, c = 8.029 Å
α = 31.48°, β = 31.48°, γ = 31.48°
Element x y z (fractional)
O (0.000, 0.000, 0.000)
Sn (0.500, 0.500, 0.500)
Te (0.911, 0.911, 0.911)
Te (0.089, 0.089, 0.089)

- Energy above the lowest structure with this stoichiometry: 0.0 meV/atom
- Raw formation energy: -102 meV per atom
- Total moment: 0.0 μB/f.u.

[3]
DFT (PBE-GGA) results for crystalline SrAcInAg at its relaxed geometry.

a = 5.688 Å, b = 5.688 Å, c = 5.688 Å
α = 60.00°, β = 60.00°, γ = 60.00°
Element x y z (fractional)
Ac (0.500, 0.500, 0.500)
Sr (0.000, 0.000, 0.000)
Ag (0.750, 0.750, 0.750)
In (0.250, 0.250, 0.250)

- DFT formation energy: -0.346 eV per atom
- Total moment: 0.0 μB/f.u.

[4]
DFT (PBE-GGA) results for crystalline BaPrIr at its relaxed geometry.

a = 5.155 Å, b = 5.155 Å, c = 5.155 Å
α = 60.00°, β = 60.00°, γ = 60.00°
Element x y z (fractional)
Ir (0.250, 0.250, 0.250)
Ba (0.000, 0.000, 0.000)
Pr (0.500, 0.500, 0.500)

- Energy above the lowest structure with this stoichiometry: 86.9 meV/atom
- DFT formation energy: -0.197 eV per atom
- Total moment: 0.0 μB/f.u.

[5]
DFT (PBE-GGA) results for crystalline Y2TlCl8 at its relaxed geometry.

a = 7.122 Å, b = 6.965 Å, c = 6.965 Å
α = 76.49°, β = 81.12°, γ = 81.12°
Element x y z (fractional)
Cl (0.149, 0.213, 0.213)
Cl (0.337, 0.671, 0.050)
Cl (0.737, 0.443, 0.443)
Cl (0.663, 0.950, 0.329)
Cl (0.663, 0.329, 0.950)
Cl (0.337, 0.050, 0.671)
Cl (0.851, 0.787, 0.787)
Cl (0.263, 0.557, 0.557)
Y (0.548, 0.683, 0.683)
Y (0.452, 0.317, 0.317)
Tl (0.000, 0.000, 0.000)

- Raw formation energy: -1789 meV per atom
- Total moment: 0.0 μB/f.u.

[6]
DFT (PBE-GGA) results for crystalline TcSnGe2 at its relaxed geometry.

a = 3.248 Å, b = 3.248 Å, c = 8.631 Å
α = 79.15°, β = 79.15°, γ = 60.00°
Element x y z (fractional)
Ge (0.068, 0.068, 0.795)
Ge (0.265, 0.265, 0.205)
Sn (0.501, 0.501, 0.498)
Tc (0.666, 0.666, 0.002)

- DFT formation energy: 0.110 eV per atom
- Total moment: 0.0 μB/f.u.

[7]
DFT (PBE-GGA) results for crystalline Cs3AgAu2Br6 at its relaxed geometry.

a = 8.261 Å, b = 8.261 Å, c = 9.515 Å
α = 90.00°, β = 90.00°, γ = 120.00°
Element x y z (fractional)
Ag (0.000, 0.000, 0.500)
Au (0.333, 0.667, 0.290)
Au (0.667, 0.333, 0.710)
Br (0.847, 0.693, 0.700)
Br (0.847, 0.153, 0.700)
Br (0.153, 0.307, 0.300)
Br (0.693, 0.847, 0.300)
Br (0.307, 0.153, 0.700)
Br (0.153, 0.847, 0.300)
Cs (0.000, 0.000, 0.000)
Cs (0.333, 0.667, 0.661)
Cs (0.667, 0.333, 0.339)

- Raw formation energy: -894 meV per atom
- Total moment: 0.0 μB/f.u.

[8]
DFT (PBE-GGA) results for crystalline Tb3AlSi2 at its relaxed geometry.

a = 4.163 Å, b = 11.590 Å, c = 11.549 Å
α = 90.00°, β = 90.00°, γ = 90.00°
Element x y z (fractional)
Tb (0.250, 0.064, 0.874)
Tb (0.250, 0.700, 0.198)
Tb (0.750, 0.300, 0.802)
Tb (0.750, 0.200, 0.302)
Tb (0.750, 0.564, 0.626)
Tb (0.750, 0.618, 0.944)
Tb (0.250, 0.118, 0.556)
Tb (0.250, 0.800, 0.698)
Tb (0.750, 0.936, 0.126)
Tb (0.250, 0.436, 0.374)
Tb (0.750, 0.882, 0.444)
Tb (0.250, 0.382, 0.056)
Si (0.250, 0.495, 0.812)
Si (0.750, 0.505, 0.188)
Si (0.750, 0.316, 0.524)
Si (0.250, 0.684, 0.476)
Si (0.750, 0.995, 0.688)
Si (0.750, 0.184, 0.024)
Si (0.250, 0.005, 0.312)
Si (0.250, 0.816, 0.976)
Al (0.250, 0.132, 0.134)
Al (0.750, 0.868, 0.866)
Al (0.250, 0.368, 0.634)
Al (0.750, 0.632, 0.366)

- Raw formation energy: -648 meV per atom
- Total moment: 0.0 μB/f.u.

[9]
DFT (PBE-GGA) results for crystalline Rb2PbCl5 at its relaxed geometry.

a = 5.543 Å, b = 8.865 Å, c = 14.778 Å
α = 90.00°, β = 90.00°, γ = 108.22°
Element x y z (fractional)
Cl (0.732, 0.464, 0.614)
Cl (0.268, 0.536, 0.386)
Cl (0.044, 0.087, 0.121)
Cl (0.268, 0.536, 0.114)
Cl (0.044, 0.087, 0.379)
Cl (0.732, 0.464, 0.886)
Cl (0.328, 0.656, 0.750)
Cl (0.672, 0.344, 0.250)
Cl (0.956, 0.913, 0.621)
Cl (0.956, 0.913, 0.879)
Rb (0.145, 0.290, 0.568)
Rb (0.145, 0.290, 0.932)
Rb (0.855, 0.710, 0.432)
Rb (0.855, 0.710, 0.068)
Pb (0.846, 0.692, 0.750)
Pb (0.154, 0.308, 0.250)

- Raw formation energy: -1387 meV per atom
- Total moment: 0.0 μB/f.u.

[10]
DFT (PBE-GGA) results for crystalline PmPaCd at its relaxed geometry.

a = 3.193 Å, b = 3.153 Å, c = 8.497 Å
α = 79.34°, β = 100.83°, γ = 90.00°
Each line ends with the local moment (μB).
Element x y z (fractional)
Pa (0.665, 0.668, 0.331)  0.59
Pm (0.494, 0.339, 0.988)  0.01
Cd (0.840, 0.993, 0.681)  0.00

- DFT formation energy: 0.382 eV per atom
- Total moment: 0.7 μB/f.u.

[11]
DFT (PBE-GGA) results for crystalline LaFeSi2 at its relaxed geometry.

a = 4.077 Å, b = 6.966 Å, c = 10.149 Å
α = 90.00°, β = 90.00°, γ = 90.00°
Element x y z (fractional)
Si (0.750, 0.163, 0.420)
Si (0.750, 0.666, 0.688)
Si (0.250, 0.834, 0.188)
Si (0.250, 0.337, 0.920)
Si (0.750, 0.166, 0.812)
Si (0.750, 0.663, 0.080)
Si (0.250, 0.334, 0.312)
Si (0.250, 0.837, 0.580)
Fe (0.250, 0.507, 0.112)
Fe (0.750, 0.493, 0.888)
Fe (0.250, 0.007, 0.388)
Fe (0.750, 0.993, 0.612)
La (0.250, 0.842, 0.879)
La (0.250, 0.342, 0.621)
La (0.750, 0.658, 0.379)
La (0.750, 0.158, 0.121)

- Raw formation energy: -616 meV per atom
- Total moment: 0.0 μB/f.u.

[12]
DFT (PBE-GGA) results for crystalline SrPr2Te3 at its relaxed geometry.

a = 4.555 Å, b = 6.481 Å, c = 7.988 Å
α = 113.93°, β = 106.56°, γ = 90.00°
Element x y z (fractional)
Sr (0.500, 0.500, 0.500)
Pr (0.835, 0.835, 0.170)
Pr (0.165, 0.165, 0.830)
Te (0.831, 0.331, 0.162)
Te (0.500, 0.000, 0.500)
Te (0.169, 0.669, 0.838)

- Raw formation energy: -1517 meV per atom
- Total moment: 0.0 μB/f.u.

[13]
DFT (PBE-GGA) results for crystalline Li2NiMo at its relaxed geometry.

a = 5.129 Å, b = 5.129 Å, c = 2.520 Å
α = 90.00°, β = 90.00°, γ = 123.71°
Element x y z (fractional)
Li (0.500, 0.500, 0.000)
Li (0.000, 0.000, 0.000)
Mo (0.500, 0.000, 0.500)
Ni (0.000, 0.500, 0.500)

- Energy above the lowest structure with this stoichiometry: 200.1 meV/atom
- DFT formation energy: 0.355 eV per atom
- Total moment: 0.0 μB/f.u.

[14]
DFT (PBE-GGA) results for crystalline TlRh2O at its relaxed geometry.

a = 4.442 Å, b = 4.442 Å, c = 4.442 Å
α = 60.00°, β = 60.00°, γ = 60.00°
Each line ends with the local moment (μB).
Element x y z (fractional)
Tl (0.500, 0.500, 0.500)  -0.02
Rh (0.250, 0.250, 0.250)  1.00
Rh (0.750, 0.750, 0.750)  1.00
O (0.000, 0.000, 0.000)  0.57

- Energy above the lowest structure with this stoichiometry: 607.1 meV/atom
- Raw formation energy: 619 meV per atom
- Total moment: 2.6 μB/f.u.

[15]
DFT (PBE-GGA) results for crystalline Dy5Fe2Te at its relaxed geometry.

a = 7.525 Å, b = 7.525 Å, c = 8.810 Å
α = 115.28°, β = 115.28°, γ = 90.00°
Each line ends with the local moment (μB).
Element x y z (fractional)
Dy (0.000, 0.000, 0.000)  -0.34
Dy (0.974, 0.474, 0.273)  -0.15
Dy (0.474, 0.298, 0.273)  -0.15
Dy (0.500, 0.500, 0.000)  -0.34
Dy (0.798, 0.974, 0.273)  -0.15
Dy (0.526, 0.702, 0.727)  -0.15
Dy (0.202, 0.026, 0.727)  -0.15
Dy (0.026, 0.526, 0.727)  -0.15
Dy (0.298, 0.798, 0.273)  -0.15
Dy (0.702, 0.202, 0.727)  -0.15
Fe (0.615, 0.115, 0.000)  1.74
Fe (0.885, 0.615, 0.000)  1.74
Fe (0.385, 0.885, 0.000)  1.74
Fe (0.115, 0.385, 0.000)  1.74
Te (0.250, 0.250, 0.500)  -0.01
Te (0.750, 0.750, 0.500)  -0.01

- Raw formation energy: -329 meV per atom
- Total moment: 2.4 μB/f.u.

[16]
DFT (PBE-GGA) results for crystalline LaRhS2N at its relaxed geometry.

a = 5.517 Å, b = 5.517 Å, c = 4.287 Å
α = 90.00°, β = 90.00°, γ = 90.00°
Each line ends with the local moment (μB).
Element x y z (fractional)
N (0.000, 0.000, 0.500)  0.49
Rh (0.500, 0.500, 0.500)  1.88
S (0.000, 0.500, 0.000)  0.44
S (0.500, 0.000, 0.000)  0.44
La (0.000, 0.000, 0.000)  0.04

- Energy above the lowest structure with this stoichiometry: 1572.2 meV/atom
- Raw formation energy: 847 meV per atom
- Total moment: 4.1 μB/f.u.

[17]
DFT (PBE-GGA) results for crystalline Mn2BeIn at its relaxed geometry.

a = 8.034 Å, b = 8.034 Å, c = 8.034 Å
α = 21.13°, β = 21.13°, γ = 21.13°
Each line ends with the local moment (μB).
Element x y z (fractional)
In (0.750, 0.750, 0.750)  -0.12
Mn (0.515, 0.515, 0.515)  3.14
Mn (0.985, 0.985, 0.985)  3.14
Be (0.250, 0.250, 0.250)  -0.10

- Energy above the lowest structure with this stoichiometry: 211.6 meV/atom
- DFT formation energy: 0.367 eV per atom
- Total moment: 6.1 μB/f.u.

[18]
DFT (PBE-GGA) results for crystalline Na2HgAsSe4 at its relaxed geometry.

a = 8.329 Å, b = 8.329 Å, c = 8.372 Å
α = 121.17°, β = 121.17°, γ = 90.91°
Element x y z (fractional)
Na (0.500, 0.000, 0.000)
Na (0.500, 0.000, 0.500)
Na (0.500, 0.500, 0.000)
Na (0.000, 0.000, 0.500)
Hg (0.000, 0.500, 0.500)
Hg (0.000, 0.500, 0.000)
Se (0.263, 0.249, 0.480)
Se (0.217, 0.754, 0.969)
Se (0.783, 0.246, 0.031)
Se (0.746, 0.283, 0.531)
Se (0.749, 0.763, 0.980)
Se (0.251, 0.237, 0.020)
Se (0.254, 0.717, 0.469)
Se (0.737, 0.751, 0.520)
As (0.000, 0.000, 0.000)
As (0.500, 0.500, 0.500)

- Raw formation energy: -406 meV per atom
- Total moment: 0.0 μB/f.u.

[19]
DFT (PBE-GGA) results for crystalline NdPaZn17 at its relaxed geometry.

a = 6.815 Å, b = 6.815 Å, c = 6.815 Å
α = 82.82°, β = 82.82°, γ = 82.82°
Each line ends with the local moment (μB).
Element x y z (fractional)
Zn (0.000, 0.500, 0.000)  0.00
Zn (0.706, 0.999, 0.296)  0.01
Zn (0.355, 0.835, 0.355)  0.01
Zn (0.835, 0.355, 0.355)  0.01
Zn (0.650, 0.156, 0.650)  0.01
Zn (0.650, 0.650, 0.156)  0.01
Zn (0.999, 0.706, 0.296)  0.01
Zn (0.899, 0.899, 0.899)  0.00
Zn (0.500, 0.000, 0.000)  0.00
Zn (0.000, 0.000, 0.500)  0.00
Zn (0.098, 0.098, 0.098)  0.00
Zn (0.296, 0.999, 0.706)  0.01
Zn (0.999, 0.296, 0.706)  0.01
Zn (0.156, 0.650, 0.650)  0.01
Zn (0.355, 0.355, 0.835)  0.01
Zn (0.706, 0.296, 0.999)  0.01
Zn (0.296, 0.706, 0.999)  0.01
Nd (0.337, 0.337, 0.337)  0.00
Pa (0.664, 0.664, 0.664)  0.74

- DFT formation energy: -0.181 eV per atom
- Total moment: 1.0 μB/f.u.

[20]
DFT (PBE-GGA) results for crystalline Ac7Ru2Pb2 at its relaxed geometry.

a = 7.660 Å, b = 7.520 Å, c = 7.520 Å
α = 71.29°, β = 90.00°, γ = 90.00°
Element x y z (fractional)
Pb (0.500, 0.826, 0.174)
Pb (0.500, 0.174, 0.826)
Ru (0.000, 0.295, 0.295)
Ru (0.000, 0.705, 0.705)
Ac (0.764, 0.500, 0.500)
Ac (0.752, 0.000, 0.500)
Ac (0.248, 0.000, 0.500)
Ac (0.236, 0.500, 0.500)
Ac (0.000, 0.000, 0.000)
Ac (0.752, 0.500, 0.000)
Ac (0.248, 0.500, 0.000)

- DFT formation energy: -0.216 eV per atom
- Total moment: 0.0 μB/f.u.

| no. | V (Å³ per cell) |
| --- | --- |
| 1 | 75.4 |
| 2 | 125.3 |
| 3 | 130.1 |
| 4 | 96.9 |
| 5 | 329.4 |
| 6 | 77.0 |
| 7 | 562.4 |
| 8 | 557.2 |
| 9 | 689.8 |
| 10 | 82.5 |
| 11 | 288.2 |
| 12 | 204.8 |
| 13 | 55.2 |
| 14 | 62.0 |
| 15 | 397.6 |
| 16 | 130.5 |
| 17 | 59.0 |
| 18 | 392.1 |
| 19 | 309.7 |
| 20 | 410.3 |